[1]
Below is Cs2AgAsI6 after structural relaxation, with properties calculated at the PBE level.

Cell: 8.3917 8.3753 11.8529 Å, 90.00 89.99 90.00°
Closest atoms and distances in Å follow each position.
Positions (direct):
1 Cs 0.0004 0.9961 0.2502  12 I 4.06-4.35
2 Cs 0.5004 0.5039 0.7502  12 I 4.06-4.35
3 Cs 0.9996 0.0039 0.7498  12 I 4.06-4.35
4 Cs 0.4996 0.4961 0.2498  12 I 4.06-4.35
5 Ag 0.5000 0.0000 0.0000  6 I 3.02-3.03
6 Ag 0.0000 0.5000 0.5000  6 I 3.02-3.03
7 As 0.5000 0.0000 0.5000  6 I 2.91
8 As 0.0000 0.5000 0.0000  6 I 2.91
9 I 0.2542 0.7357 0.0078  1 As 2.91, 1 Ag 3.03
10 I 0.7542 0.7643 0.5078  1 As 2.91, 1 Ag 3.03
11 I 0.7458 0.2643 0.9922  1 As 2.91, 1 Ag 3.03
12 I 0.2458 0.2357 0.4922  1 As 2.91, 1 Ag 3.03
13 I 0.2647 0.7453 0.4933  1 As 2.91, 1 Ag 3.03
14 I 0.7647 0.7547 0.9933  1 As 2.91, 1 Ag 3.03
15 I 0.7353 0.2547 0.5067  1 As 2.91, 1 Ag 3.03
16 I 0.2353 0.2453 0.0067  1 As 2.91, 1 Ag 3.03
17 I 0.9854 0.4985 0.2452  1 As 2.91, 1 Ag 3.02
18 I 0.4854 0.0015 0.7452  1 As 2.91, 1 Ag 3.02
19 I 0.0146 0.5015 0.7548  1 As 2.91, 1 Ag 3.02
20 I 0.5146 0.9985 0.2548  1 As 2.91, 1 Ag 3.02

Properties
ΔE_f (raw), meV per atom: -740
VASP energy, eV per atom: -2.591
Volume, Å³ per cell: 833.1
Symmetry: P2_1/c (14)
M_tot, Bohr magnetons per cell: 0.00

[2]
Below is Cs2AgAsI6 after structural relaxation, with properties calculated at the PBE level.

Cell: 8.3821 8.3821 8.3825 Å, 60.00 60.00 90.00°
Closest atoms and distances in Å follow each position.
Positions (direct):
1 Cs 0.7500 0.2500 0.5000  12 I 4.19
2 Cs 0.2500 0.7500 0.5000  12 I 4.19
3 I 0.2548 0.2548 0.4905  1 As 2.91, 1 Ag 3.02
4 I 0.7452 0.7452 0.5095  1 As 2.91, 1 Ag 3.02
5 I 0.2549 0.2549 0.0000  1 As 2.91, 1 Ag 3.02
6 I 0.7451 0.7451 0.0000  1 As 2.91, 1 Ag 3.02
7 I 0.7451 0.2549 0.0000  1 As 2.91, 1 Ag 3.02
8 I 0.2549 0.7451 0.0000  1 As 2.91, 1 Ag 3.02
9 As 0.5000 0.5000 0.0000  6 I 2.91
10 Ag 0.0000 0.0000 0.0000  6 I 3.02

Properties
ΔE_f (raw), meV per atom: -741
VASP energy, eV per atom: -2.591
Volume, Å³ per cell: 416.5
Symmetry: Fm-3m (225)
M_tot, Bohr magnetons per cell: 0.00

[3]
Below is CsAgAsI6 after structural relaxation, with properties calculated at the PBE level.

Cell: 7.4471 7.5032 7.9753 Å, 77.45 92.94 71.89°
Closest atoms and distances in Å follow each position.
Positions (direct):
1 Cs 0.0873 0.1159 0.0269  7 I 3.91-4.26
2 Ag 0.3847 0.2619 0.4440  5 I 2.80-2.98
3 As 0.6624 0.6576 0.5278  5 I 2.71-2.94
4 I 0.9734 0.4358 0.3686  1 Ag 2.90, 1 As 2.93
5 I 0.3253 0.9174 0.6167  1 Ag 2.83, 1 As 2.89
6 I 0.5852 0.3366 0.7400  1 As 2.86, 1 Ag 2.98
7 I 0.9014 0.6809 0.7832  1 As 2.71
8 I 0.4309 0.5877 0.2265  1 Ag 2.80, 1 As 3.12
9 I 0.6492 0.0062 0.2662  1 As 2.94, 1 Ag 2.95

Properties
ΔE_f (raw), meV per atom: -428
VASP energy, eV per atom: -2.390
Volume, Å³ per cell: 410.0
Symmetry: P1 (1)
M_tot, Bohr magnetons per cell: 0.00

[4]
Below is CsInAgAs after structural relaxation, with properties calculated at the PBE level.

Cell: 4.6442 4.6442 13.3934 Å, 90.00 90.00 90.00°
Closest atoms and distances in Å follow each position.
Positions (direct):
1 Cs 0.7500 0.7500 0.2722  4 Ag 3.83, 4 As 3.89
2 Cs 0.2500 0.2500 0.7278  4 Ag 3.83, 4 As 3.89
3 In 0.7500 0.2500 0.0000  4 As 2.80
4 In 0.2500 0.7500 0.0000  4 As 2.80
5 Ag 0.2500 0.7500 0.5000  4 Ag 3.28
6 Ag 0.7500 0.2500 0.5000  4 Ag 3.28
7 As 0.7500 0.7500 0.8832  4 In 2.80
8 As 0.2500 0.2500 0.1168  4 In 2.80

Properties
VASP energy, eV per atom: -2.849
Volume, Å³ per cell: 288.9
Symmetry: P4/nmm (129)
Calculated formation energy, eV per atom: -0.076
M_tot, Bohr magnetons per cell: 0.00

Number 3 is which compound?
CsAgAsI6